[1]
This record from Alexandria describes a geometry-optimized Be2GaSi2 structure. The functional is GGA-PBE.

Computed properties:
Uncorrected formation energy (eV/atom): 0.2747
Symmetry: I4/mmm (139)

a b c (Å): 3.8133 3.8133 5.5984
angles (deg): 70.09 70.09 90.00
Last column: nearest neighbours and their distance in Å.
Fractional positions:
1 Be 0.7500 0.2500 0.5000  4 Si 2.30
2 Be 0.2500 0.7500 0.5000  4 Si 2.30
3 Si 0.3810 0.3810 0.2380  4 Be 2.30, 1 Si 2.34
4 Si 0.6190 0.6190 0.7620  4 Be 2.30, 1 Si 2.34
5 Ga 0.0000 0.0000 0.0000  8 Si 2.94, 8 Be 3.11

***

[2]
This record from Alexandria describes a geometry-optimized Si2SbPH structure. The functional is GGA-PBE.

Computed properties:
Final energy (eV per atom): -3.788
Symmetry: P4/mmm (123)

a b c (Å): 5.1741 3.6073 5.1741
angles (deg): 90.00 90.00 90.00
Last column: nearest neighbours and their distance in Å.
Fractional positions:
1 Sb 0.0000 0.0000 0.0000  2 H 1.80
2 Si 0.0000 0.0000 0.5000  2 Sb 2.59
3 Si 0.5000 0.0000 0.0000  2 Sb 2.59
4 H 0.0000 0.5000 0.0000  2 Sb 1.80
5 P 0.5000 0.5000 0.5000  8 Si 3.15

***

[3]
This record from Alexandria describes a geometry-optimized Ac2ErSc structure. The functional is GGA-PBE.

Computed properties:
Offset from the most stable computed form (eV/f.u.): 0.000
Symmetry: P4/mmm (123)
Formation enthalpy at 0 K (kcal/mol of atoms): 1.8

a b c (Å): 3.9256 3.9256 9.2071
angles (deg): 90.00 90.00 90.00
Last column: nearest neighbours and their distance in Å.
Fractional positions:
1 Sc 0.5000 0.5000 0.0000  8 Ac 3.54, 4 Sc 3.93
2 Ac 0.0000 0.0000 0.7621  4 Sc 3.54, 4 Er 3.68, 4 Ac 3.93
3 Ac 0.0000 0.0000 0.2379  4 Sc 3.54, 4 Er 3.68, 4 Ac 3.93
4 Er 0.5000 0.5000 0.5000  8 Ac 3.68, 4 Er 3.93

***

[4]
This record from Alexandria describes a geometry-optimized ZnCrP2 structure. The functional is GGA-PBE.

Computed properties:
Symmetry: P4mm (99)
Formation enthalpy at 0 K (kcal/mol of atoms): 1.2

a b c (Å): 3.4483 3.4452 5.1013
angles (deg): 90.00 90.00 90.00
Last column: nearest neighbours and their distance in Å.
Fractional positions:
1 Cr 0.5000 0.5000 0.8304  6 P 2.47-2.58
2 P 0.0000 0.0000 0.9071  2 Zn 2.45-2.65, 4 Cr 2.47
3 P 0.5000 0.5000 0.3358  4 Zn 2.48, 2 Cr 2.52-2.58
4 Zn 0.0000 0.0000 0.4267  6 P 2.45-2.65

***

[5]
This record from Alexandria describes a geometry-optimized TiFeTc3 structure. The functional is GGA-PBE.

Computed properties:
Offset from the most stable computed form (eV/f.u.): 0.000
Symmetry: Pm-3m (221)
Formation enthalpy at 0 K (kcal/mol of atoms): 22.0

a b c (Å): 4.3844 4.3844 4.3844
angles (deg): 90.00 90.00 90.00
Last column: nearest neighbours and their distance in Å.
Fractional positions:
1 Ti 0.5000 0.5000 0.5000  12 Tc 3.10
2 Tc 0.0000 0.5000 0.0000  2 Fe 2.19
3 Tc 0.0000 0.0000 0.5000  2 Fe 2.19
4 Tc 0.5000 0.0000 0.0000  2 Fe 2.19
5 Fe 0.0000 0.0000 0.0000  6 Tc 2.19

***

[6]
This record from Alexandria describes a geometry-optimized AcY2Er5 structure. The functional is GGA-PBE.

Computed properties:
Symmetry: Pbam (55)
Formation enthalpy at 0 K (kcal/mol of atoms): 0.6

a b c (Å): 7.2040 11.6037 12.4239
angles (deg): 90.00 90.00 90.00
Last column: nearest neighbours and their distance in Å.
Fractional positions:
1 Ac 0.5000 0.4998 0.7483  8 Er 3.57-3.61, 4 Y 3.60-3.63
2 Ac 0.5000 0.5002 0.2517  8 Er 3.57-3.61, 4 Y 3.60-3.63
3 Ac 0.5000 0.0002 0.2483  8 Er 3.57-3.61, 4 Y 3.60-3.63
4 Ac 0.5000 0.9998 0.7517  8 Er 3.57-3.61, 4 Y 3.60-3.63
5 Y 0.0000 0.0000 0.7510  8 Er 3.54-3.59, 2 Y 3.58, 2 Ac 3.60
6 Y 0.0000 0.0000 0.2490  8 Er 3.54-3.59, 2 Y 3.58, 2 Ac 3.60
7 Y 0.0000 0.5000 0.2510  8 Er 3.54-3.59, 2 Y 3.58, 2 Ac 3.60
8 Y 0.0000 0.5000 0.7490  8 Er 3.54-3.59, 2 Y 3.58, 2 Ac 3.60
9 Y 0.7549 0.0000 0.5000  4 Y 3.53-3.67, 6 Er 3.55-3.58, 2 Ac 3.63
10 Y 0.2451 0.5000 0.0000  4 Y 3.53-3.67, 6 Er 3.55-3.58, 2 Ac 3.63
11 Y 0.2451 0.0000 0.5000  4 Y 3.53-3.67, 6 Er 3.55-3.58, 2 Ac 3.63
12 Y 0.7549 0.5000 0.0000  4 Y 3.53-3.67, 6 Er 3.55-3.58, 2 Ac 3.63
13 Er 0.7556 0.2501 0.6669  7 Er 3.52-3.68, 3 Y 3.54-3.57, 2 Ac 3.58-3.60
14 Er 0.7556 0.7499 0.3331  7 Er 3.52-3.68, 3 Y 3.54-3.57, 2 Ac 3.58-3.60
15 Er 0.2444 0.2499 0.1669  7 Er 3.52-3.68, 3 Y 3.54-3.57, 2 Ac 3.58-3.60
16 Er 0.2444 0.7501 0.8331  7 Er 3.52-3.68, 3 Y 3.54-3.57, 2 Ac 3.58-3.60
17 Er 0.2444 0.7499 0.3331  7 Er 3.52-3.68, 3 Y 3.54-3.57, 2 Ac 3.58-3.60
18 Er 0.2444 0.2501 0.6669  7 Er 3.52-3.68, 3 Y 3.54-3.57, 2 Ac 3.58-3.60
19 Er 0.7556 0.7501 0.8331  7 Er 3.52-3.68, 3 Y 3.54-3.57, 2 Ac 3.58-3.60
20 Er 0.7556 0.2499 0.1669  7 Er 3.52-3.68, 3 Y 3.54-3.57, 2 Ac 3.58-3.60
21 Er 0.5000 0.2491 0.9199  8 Er 3.57-3.64, 2 Ac 3.57-3.61, 2 Y 3.58
22 Er 0.5000 0.7509 0.0801  8 Er 3.57-3.64, 2 Ac 3.57-3.61, 2 Y 3.58
23 Er 0.5000 0.2509 0.4199  8 Er 3.57-3.64, 2 Ac 3.57-3.61, 2 Y 3.58
24 Er 0.5000 0.7491 0.5801  8 Er 3.57-3.64, 2 Ac 3.57-3.61, 2 Y 3.58
25 Er 0.0000 0.2491 0.9179  8 Er 3.54-3.60, 4 Y 3.55-3.59
26 Er 0.0000 0.7509 0.0821  8 Er 3.54-3.60, 4 Y 3.55-3.59
27 Er 0.0000 0.2509 0.4179  8 Er 3.54-3.60, 4 Y 3.55-3.59
28 Er 0.0000 0.7491 0.5821  8 Er 3.54-3.60, 4 Y 3.55-3.59
29 Er 0.7555 0.0000 0.0000  8 Er 3.52-3.68, 2 Y 3.56, 2 Ac 3.59
30 Er 0.2445 0.5000 0.5000  8 Er 3.52-3.68, 2 Y 3.56, 2 Ac 3.59
31 Er 0.2445 0.0000 0.0000  8 Er 3.52-3.68, 2 Y 3.56, 2 Ac 3.59
32 Er 0.7555 0.5000 0.5000  8 Er 3.52-3.68, 2 Y 3.56, 2 Ac 3.59